1.
Density functional theory data (PBE) for a relaxed structure of Zn3Br.

Calculated volume, Å³/cell: 84
Final energy, eV for the cell shown: -4.459

a b c (Å): 4.3820 4.3820 4.3820
angles (deg): 90.00 90.00 90.00
Last column: nearest neighbours and their distance in Å.
Space group Pm-3m (No. 221)
Asymmetric unit:
Zn (0.0000, 0.0000, 0.5000) [3 per cell]  4 Br 3.10, 8 Zn 3.10
Br (0.5000, 0.5000, 0.5000) [1 per cell]  12 Zn 3.10



2.
Density functional theory data (PBE) for a relaxed structure of Zn2Br.

Calculated volume, Å³/cell: 124
Final energy, eV for the cell shown: -8.338

a b c (Å): 3.3640 3.3640 10.9756
angles (deg): 90.00 90.00 90.00
Last column: nearest neighbours and their distance in Å.
Space group I4/mmm (No. 139)
Asymmetric unit:
Zn (0.0000, 0.0000, 0.1873) [4 per cell]  4 Zn 2.75
Br (0.0000, 0.0000, 0.5000) [2 per cell]  10 Zn 3.14-3.43, 4 Br 3.36



3.
Density functional theory data (PBE) for a relaxed structure of Zn3Br2.

Calculated volume, Å³/cell: 467
Final energy, eV for the cell shown: -24.351

a b c (Å): 3.7051 3.7051 39.3121
angles (deg): 90.00 90.00 120.00
Last column: nearest neighbours and their distance in Å.
Space group R-3m (No. 166, hexagonal axes)
Asymmetric unit:
Zn (0.0000, 0.0000, 0.0000) [3 per cell]  6 Br 2.62
Zn (0.0000, 0.0000, 0.1878) [6 per cell]  3 Zn 2.71
Br (0.0000, 0.0000, 0.3720) [6 per cell]  3 Zn 2.62



4.
Density functional theory data (PBE) for a relaxed structure of ZnBr3.

Calculated volume, Å³/cell: 396
Final energy, eV for the cell shown: -23.288

a b c (Å): 3.6982 3.6982 33.4444
angles (deg): 90.00 90.00 120.00
Last column: nearest neighbours and their distance in Å.
Space group R-3m (No. 166, hexagonal axes)
Asymmetric unit:
Zn (0.0000, 0.0000, 0.0000) [3 per cell]  6 Br 2.62
Br (0.0000, 0.0000, 0.2877) [6 per cell]  3 Zn 2.62
Br (0.0000, 0.0000, 0.5000) [3 per cell]  6 Br 3.70



5.
Density functional theory data (PBE) for a relaxed structure of ZnBr3.

Calculated volume, Å³/cell: 136
Final energy, eV for the cell shown: -7.857

a b c (Å): 5.9610 3.3037 7.5333
angles (deg): 90.00 113.25 90.00
Last column: nearest neighbours and their distance in Å.
Space group P2/m (No. 10)
Asymmetric unit:
Zn (0.0000, 0.0000, 0.0000) [1 per cell]  4 Br 2.49
Br (0.1349, 0.5000, 0.2700) [2 per cell]  2 Zn 2.49
Br (0.5000, 0.0000, 0.0000) [1 per cell]  2 Zn 2.98, 2 Br 3.30



6.
Density functional theory data (PBE) for a relaxed structure of Zn3Br2.

Calculated volume, Å³/cell: 132
Final energy, eV for the cell shown: -8.112

a b c (Å): 4.0625 4.0625 9.2374
angles (deg): 90.00 90.00 120.00
Last column: nearest neighbours and their distance in Å.
Space group P-3m1 (No. 164)
Asymmetric unit:
Zn (0.0000, 0.0000, 0.0000) [1 per cell]  6 Br 2.78
Zn (0.3333, 0.6667, 0.5440) [2 per cell]  3 Zn 2.48, 1 Br 2.71
Br (0.3333, 0.6667, 0.8377) [2 per cell]  4 Zn 2.71-2.78